No. 1
Here is a relaxed ZnTcBr2 crystal from Alexandria. Energies are from PBE.

Unit cell a=3.8792 b=7.0040 c=8.5454 alpha=76.01 beta=80.49 gamma=78.23
Closest atoms and distances in Å follow each position.
Fractional positions:
1 Zn 0.5581 0.8704 0.0250  2 Br 2.50-2.76, 2 Tc 2.50-2.71, 1 Zn 2.71
2 Zn 0.9570 0.1239 0.8209  1 Tc 2.52, 2 Br 2.54-2.61, 1 Zn 2.71
3 Tc 0.3112 0.6023 0.9110  1 Tc 2.15
4 Tc 0.9133 0.7912 0.7695  1 Tc 2.15
5 Br 0.7336 0.4790 0.6765  1 Zn 2.54, 2 Tc 2.57-2.75
6 Br 0.1235 0.6746 0.2106  1 Zn 2.50, 1 Tc 2.68
7 Br 0.3917 0.9798 0.5474  2 Tc 2.72-2.90, 1 Zn 2.91
8 Br 0.1676 0.2395 0.0525  2 Zn 2.61-2.76, 1 Tc 2.66

Properties
The value obtained for the calculated density is 4.9 g/cm³. The calculation puts the formation energy from raw total energies at -0.199 eV/atom. The calculation puts the total DFT energy (no corrections) at -31.563 eV for the cell shown.

***

No. 2
Here is a relaxed ZnTcBr2 crystal from Alexandria. Energies are from PBE.

Unit cell a=3.6997 b=6.3852 c=8.7412 alpha=79.93 beta=81.47 gamma=89.94
Closest atoms and distances in Å follow each position.
Fractional positions:
1 Zn 0.2160 0.0437 0.0987  3 Br 2.57-2.77, 2 Zn 2.64-2.65, 2 Tc 2.88
2 Zn 0.7840 0.9563 0.9013  3 Br 2.57-2.77, 2 Zn 2.64-2.65, 2 Tc 2.88
3 Tc 0.2483 0.6141 0.0041  2 Tc 2.36, 2 Br 2.50-2.54
4 Tc 0.7517 0.3859 0.9959  2 Tc 2.36, 2 Br 2.50-2.54
5 Br 0.3490 0.7924 0.7165  1 Tc 2.54, 2 Zn 2.77
6 Br 0.6510 0.2076 0.2835  1 Tc 2.54, 2 Zn 2.77
7 Br 0.1512 0.6783 0.2808  1 Tc 2.50, 1 Zn 2.57
8 Br 0.8488 0.3217 0.7192  1 Tc 2.50, 1 Zn 2.57

Properties
The value obtained for the calculated density is 5.3 g/cm³. The calculation puts the formation energy from raw total energies at -0.161 eV/atom. The calculation puts the total DFT energy (no corrections) at -31.262 eV for the cell shown.

***

No. 3
Here is a relaxed ZnTcBr2 crystal from Alexandria. Energies are from PBE.

Unit cell a=6.3828 b=3.7014 c=8.7833 alpha=90.00 beta=106.07 gamma=90.00
Closest atoms and distances in Å follow each position.
Fractional positions:
1 Zn 0.9705 0.2500 0.0993  3 Br 2.57-2.77, 2 Zn 2.64, 2 Tc 2.88
2 Zn 0.0295 0.7500 0.9007  3 Br 2.57-2.77, 2 Zn 2.64, 2 Tc 2.88
3 Tc 0.3864 0.2500 0.0040  2 Tc 2.36, 2 Br 2.50-2.54
4 Tc 0.6136 0.7500 0.9960  2 Tc 2.36, 2 Br 2.50-2.54
5 Br 0.1662 0.2500 0.7142  1 Tc 2.54, 2 Zn 2.77
6 Br 0.8338 0.7500 0.2858  1 Tc 2.54, 2 Zn 2.77
7 Br 0.3624 0.2500 0.2830  1 Tc 2.50, 1 Zn 2.57
8 Br 0.6376 0.7500 0.7170  1 Tc 2.50, 1 Zn 2.57

Properties
The value obtained for the calculated density is 5.4 g/cm³. The calculation puts the formation energy from raw total energies at -0.162 eV/atom. The calculation puts the total DFT energy (no corrections) at -31.264 eV for the cell shown.

***

No. 4
Here is a relaxed Zn2TcBr crystal from Alexandria. Energies are from PBE.

Unit cell a=3.2095 b=2.7308 c=8.4939 alpha=90.07 beta=90.00 gamma=90.00
Closest atoms and distances in Å follow each position.
Fractional positions:
1 Br 0.5000 0.2500 0.2500  2 Br 2.73, 4 Zn 3.05
2 Tc 0.5000 0.7500 0.7500  8 Zn 2.68, 2 Tc 2.73
3 Zn 0.0000 0.2511 0.9448  4 Tc 2.68, 2 Zn 2.73
4 Zn 0.0000 0.2489 0.5552  4 Tc 2.68, 2 Zn 2.73

Properties
The value obtained for the calculated density is 6.9 g/cm³. The calculation puts the formation energy from raw total energies at 0.237 eV/atom. The calculation puts the total DFT energy (no corrections) at -13.638 eV for the cell shown.

***

Among the records above, which one has the lowest calculated density?
number 1

***

Which formula does entry 4 have?
Zn2TcBr